1.
Below is a relaxed La2TaNi crystal, with properties calculated at the PBE level.

Results
ΔH_f (0 K) = 0.461 eV/atom
density = 9.2 g/cm³
size of the total moment = 0.00 μB per formula unit
offset from the most stable computed form = 392 meV/atom
calculated volume = 93.0 Å³/f.u.

abc: 5.876 5.876 5.876
angles: 137.07 137.07 62.33
Positions (direct):
La 0.000 0.000 0.000
La 0.750 0.250 0.500
Ta 0.500 0.500 0.000
Ni 0.250 0.750 0.500

=====

2.
Below is a relaxed BaLi2LaAg crystal, with properties calculated at the PBE level.

Results
ΔH_f (0 K) = 0.095 eV/atom
density = 4.0 g/cm³
size of the total moment = 0.00 μB per formula unit
calculated volume = 166.7 Å³/f.u.

abc: 5.405 5.405 5.706
angles: 90.00 90.00 90.00
Positions (direct):
Ba 0.000 0.000 0.000
Li 0.000 0.500 0.500
Li 0.500 0.000 0.500
La 0.500 0.500 0.000
Ag 0.500 0.500 0.500

=====

3.
Below is a relaxed Tm5Cd2Co crystal, with properties calculated at the PBE level.

Results
ΔH_f (0 K) = -0.211 eV/atom
density = 9.5 g/cm³
size of the total moment = 0.00 μB per formula unit
offset from the most stable computed form = 0 meV/atom
calculated volume = 197.7 Å³/f.u.

abc: 6.664 11.878 4.996
angles: 90.00 90.00 90.00
Positions (direct):
Tm 0.000 0.000 0.000
Tm 0.125 0.293 0.000
Tm 0.164 0.594 0.500
Tm 0.336 0.094 0.500
Tm 0.375 0.793 0.000
Tm 0.500 0.500 0.000
Tm 0.625 0.207 0.000
Tm 0.664 0.906 0.500
Tm 0.836 0.406 0.500
Tm 0.875 0.707 0.000
Cd 0.111 0.851 0.500
Cd 0.389 0.351 0.500
Cd 0.611 0.649 0.500
Cd 0.889 0.149 0.500
Co 0.000 0.500 0.000
Co 0.500 0.000 0.000

=====

4.
Below is a relaxed AcSmS2 crystal, with properties calculated at the PBE level.

Results
ΔE_f (raw) = -1.938 eV/atom
density = 7.1 g/cm³
size of the total moment = 0.00 μB per formula unit
offset from the most stable computed form = 68 meV/atom
calculated volume = 103.6 Å³/f.u.

abc: 7.605 7.605 7.605
angles: 31.02 31.02 31.02
Positions (direct):
Ac 0.000 0.000 0.000
Sm 0.177 0.177 0.177
S 0.580 0.580 0.580
S 0.763 0.763 0.763

=====

5.
Below is a relaxed Pm4Pr15Al crystal, with properties calculated at the PBE level.

Results
ΔH_f (0 K) = -0.011 eV/atom
density = 6.5 g/cm³
size of the total moment = 0.00 μB per formula unit
calculated volume = 693.1 Å³/f.u.

abc: 5.152 5.152 26.113
angles: 90.00 90.00 90.00
Positions (direct):
Pm 0.000 0.000 0.101
Pm 0.000 0.000 0.305
Pm 0.000 0.000 0.695
Pm 0.000 0.000 0.899
Pr 0.000 0.500 0.000
Pr 0.000 0.500 0.204
Pr 0.000 0.500 0.407
Pr 0.000 0.500 0.593
Pr 0.000 0.500 0.796
Pr 0.500 0.000 0.000
Pr 0.500 0.000 0.204
Pr 0.500 0.000 0.407
Pr 0.500 0.000 0.593
Pr 0.500 0.000 0.796
Pr 0.500 0.500 0.102
Pr 0.500 0.500 0.306
Pr 0.500 0.500 0.500
Pr 0.500 0.500 0.694
Pr 0.500 0.500 0.898
Al 0.000 0.000 0.500

=====

6.
Below is a relaxed Tb2PuPb9 crystal, with properties calculated at the PBE level.

Results
ΔH_f (0 K) = -0.255 eV/atom
density = 11.6 g/cm³
size of the total moment = 5.87 μB per formula unit
calculated volume = 347.6 Å³/f.u.

abc: 4.877 4.877 14.612
angles: 90.00 90.00 90.00
Positions (direct):
Tb 0.000 0.000 0.170
Tb 0.000 0.000 0.830
Pu 0.000 0.000 0.500
Pb 0.000 0.500 0.000
Pb 0.000 0.500 0.334
Pb 0.000 0.500 0.666
Pb 0.500 0.000 0.000
Pb 0.500 0.000 0.334
Pb 0.500 0.000 0.666
Pb 0.500 0.500 0.167
Pb 0.500 0.500 0.500
Pb 0.500 0.500 0.833

=====

7.
Below is a relaxed TaMnRuRh crystal, with properties calculated at the PBE level.

Results
ΔH_f (0 K) = -0.341 eV/atom
density = 12.1 g/cm³
size of the total moment = 4.81 μB per formula unit
calculated volume = 60.4 Å³/f.u.

abc: 4.405 4.405 4.405
angles: 60.00 60.00 60.00
Positions (direct):
Ta 0.000 0.000 0.000
Mn 0.500 0.500 0.500
Ru 0.750 0.750 0.750
Rh 0.250 0.250 0.250

=====

8.
Below is a relaxed MoH3W crystal, with properties calculated at the PBE level.

Results
density = 11.3 g/cm³
size of the total moment = 0.00 μB per formula unit
offset from the most stable computed form = 43 meV/atom
calculated volume = 41.4 Å³/f.u.

abc: 3.459 3.459 3.459
angles: 90.00 90.00 90.00
Positions (direct):
Mo 0.000 0.000 0.000
H 0.000 0.000 0.500
H 0.000 0.500 0.000
H 0.500 0.000 0.000
W 0.500 0.500 0.500